Record 1
Below is an optimized crystal structure of La2NpReN6, with properties calculated at the PBE level.

## Properties
Formation energy from raw total energies, meV/atom: -937
Calculated volume, Å³/cell: 274.4

Unit cell a=5.847 b=5.760 c=9.980 alpha=90.00 beta=125.28 gamma=90.00
Space group P2_1/c (No. 14)
One atom of each set of equivalent atoms:
La 0.241 0.019 0.248 [4 per cell]
Np 0.500 0.000 0.000 [2 per cell]
Re 0.000 0.000 0.500 [2 per cell]
N 0.181 0.233 0.959 [4 per cell]
N 0.216 0.726 0.957 [4 per cell]
N 0.319 0.006 0.742 [4 per cell]

Record 2
Below is an optimized crystal structure of LaNp2RhN4, with properties calculated at the PBE level.

## Properties
Formation energy from raw total energies, meV/atom: -956
Calculated volume, Å³/cell: 469.5

Unit cell a=3.490 b=11.505 c=11.693 alpha=90.00 beta=90.00 gamma=90.00
Space group Cmcm (No. 63)
One atom of each set of equivalent atoms:
La 0.000 0.105 0.250 [4 per cell]
Np 0.000 0.371 0.056 [8 per cell]
Rh 0.000 0.157 0.750 [4 per cell]
N 0.000 0.000 0.000 [4 per cell]
N 0.000 0.264 0.600 [8 per cell]
N 0.000 0.448 0.250 [4 per cell]

Record 3
Below is an optimized crystal structure of LaNpSbN2, with properties calculated at the PBE level.

## Properties
Formation energy from raw total energies, meV/atom: -1103
Calculated volume, Å³/cell: 418.0

Unit cell a=5.688 b=13.177 c=5.576 alpha=90.00 beta=90.00 gamma=90.00
Space group Cmcm (No. 63)
One atom of each set of equivalent atoms:
La 0.000 0.099 0.250 [4 per cell]
Np 0.000 0.424 0.250 [4 per cell]
Sb 0.000 0.249 0.750 [4 per cell]
N 0.224 0.500 0.000 [8 per cell]

Record 4
Below is an optimized crystal structure of La2NpSe2N2, with properties calculated at the PBE level.

## Properties
Formation energy from raw total energies, meV/atom: -1681
Calculated volume, Å³/cell: 310.7

Unit cell a=12.314 b=4.023 c=7.350 alpha=90.00 beta=121.44 gamma=90.00
Space group C2/m (No. 12)
One atom of each set of equivalent atoms:
La 0.193 0.000 0.242 [4 per cell]
Np 0.000 0.000 0.500 [2 per cell]
Se 0.067 0.500 0.833 [4 per cell]
N 0.184 0.000 0.572 [4 per cell]

Record 5
Below is an optimized crystal structure of LaNpSe2N, with properties calculated at the PBE level.

## Properties
Formation energy from raw total energies, meV/atom: -1530
Calculated volume, Å³/cell: 242.9

Unit cell a=4.011 b=4.011 c=15.102 alpha=90.00 beta=90.00 gamma=90.00
Space group P4/nmm (No. 129, origin choice 2)
One atom of each set of equivalent atoms:
La 0.250 0.250 0.134 [2 per cell]
Np 0.250 0.250 0.571 [2 per cell]
Se 0.250 0.250 0.324 [2 per cell]
Se 0.250 0.250 0.915 [2 per cell]
N 0.250 0.750 0.500 [2 per cell]

Record 6
Below is an optimized crystal structure of LaSmNpN3, with properties calculated at the PBE level.

## Properties
Formation energy from raw total energies, meV/atom: -1008
Calculated volume, Å³/cell: 235.3

Unit cell a=7.470 b=3.693 c=8.615 alpha=90.00 beta=98.01 gamma=90.00
Space group P2_1/m (No. 11)
One atom of each set of equivalent atoms:
La 0.167 0.250 0.141 [2 per cell]
Sm 0.373 0.750 0.844 [2 per cell]
Np 0.059 0.250 0.588 [2 per cell]
N 0.106 0.250 0.844 [2 per cell]
N 0.214 0.750 0.577 [2 per cell]
N 0.390 0.750 0.121 [2 per cell]

Record 7
Below is an optimized crystal structure of LaSm2NpN4, with properties calculated at the PBE level.

## Properties
Formation energy from raw total energies, meV/atom: -1116
Calculated volume, Å³/cell: 525.4

Unit cell a=3.518 b=13.315 c=11.216 alpha=90.00 beta=90.00 gamma=90.00
Space group Cmcm (No. 63)
One atom of each set of equivalent atoms:
La 0.000 0.233 0.250 [4 per cell]
Sm 0.000 0.374 0.516 [8 per cell]
Np 0.000 0.038 0.750 [4 per cell]
N 0.000 0.000 0.000 [4 per cell]
N 0.000 0.200 0.616 [8 per cell]
N 0.000 0.432 0.750 [4 per cell]

Record 8
Below is an optimized crystal structure of La3Sm2NpN6, with properties calculated at the PBE level.

## Properties
Formation energy from raw total energies, meV/atom: -1374
Calculated volume, Å³/cell: 400.3

Unit cell a=6.231 b=10.768 c=6.316 alpha=90.00 beta=109.16 gamma=90.00
Space group C2/m (No. 12)
One atom of each set of equivalent atoms:
La 0.000 0.000 0.000 [2 per cell]
La 0.000 0.332 0.000 [4 per cell]
Sm 0.000 0.166 0.500 [4 per cell]
Np 0.000 0.500 0.500 [2 per cell]
N 0.222 0.351 0.716 [8 per cell]
N 0.227 0.500 0.276 [4 per cell]

The highest formation energy from raw total energies belongs to which entry?
La2NpReN6

The highest calculated volume belongs to which entry?
LaSm2NpN4

Copy entry 6 word for word.
Below is an optimized crystal structure of LaSmNpN3, with properties calculated at the PBE level.

## Properties
Formation energy from raw total energies, meV/atom: -1008
Calculated volume, Å³/cell: 235.3

Unit cell a=7.470 b=3.693 c=8.615 alpha=90.00 beta=98.01 gamma=90.00
Space group P2_1/m (No. 11)
One atom of each set of equivalent atoms:
La 0.167 0.250 0.141 [2 per cell]
Sm 0.373 0.750 0.844 [2 per cell]
Np 0.059 0.250 0.588 [2 per cell]
N 0.106 0.250 0.844 [2 per cell]
N 0.214 0.750 0.577 [2 per cell]
N 0.390 0.750 0.121 [2 per cell]